1.
The following is a PBE calculation of a geometry-optimized Al3Te structure, from the Alexandria database.

abc: 2.949 3.919 7.327
angles: 90.00 90.00 90.00
Space group Pmmm (No. 47)
Unique sites:
1 Al 0.000 0.000 0.000 [1 per cell]
2 Al 0.500 0.500 0.200 [2 per cell]
3 Te 0.500 0.000 0.500 [1 per cell]

* mass density: 4.09 Mg/m³
* formation energy (no corrections): 0.05 eV per atom
* energy relative to the lowest polymorph listed for this composition: 0 kJ/mol of formula units

***

2.
The following is a PBE calculation of a geometry-optimized NaTm2Cd structure, from the Alexandria database.

abc: 3.4395 3.4395 35.8819
angles: 90.00 90.00 120.00
Space group R-3m (No. 166, hexagonal axes)
Unique sites:
1 Na 0.0000 0.0000 0.0000 [3 per cell]
2 Tm 0.0000 0.0000 0.0970 [6 per cell]
3 Cd 0.0000 0.0000 0.5000 [3 per cell]

* mass density: 6.41 Mg/m³
* ΔE_f: 12 kJ/mol of atoms

***

3.
The following is a PBE calculation of a geometry-optimized Ac4In3Pb5 structure, from the Alexandria database.

abc: 14.678 5.509 13.632
angles: 90.00 120.10 90.00
Space group C2/m (No. 12)
Unique sites:
1 Ac 0.071 0.000 0.302 [4 per cell]
2 Ac 0.143 0.000 0.016 [4 per cell]
3 In 0.000 0.500 0.500 [2 per cell]
4 In 0.249 0.500 0.420 [4 per cell]
5 Pb 0.000 0.000 0.500 [2 per cell]
6 Pb 0.095 0.500 0.818 [4 per cell]
7 Pb 0.103 0.500 0.149 [4 per cell]

* mass density: 7.97 Mg/m³
* ΔE_f: -12 kJ/mol of atoms

***

4.
The following is a PBE calculation of a geometry-optimized Sn3S2Br2 structure, from the Alexandria database.

abc: 16.393 4.156 6.491
angles: 90.00 107.02 90.00
Space group C2/m (No. 12)
Unique sites:
1 Sn 0.000 0.000 0.000 [2 per cell]
2 Sn 0.247 0.000 0.760 [4 per cell]
3 S 0.165 0.000 0.335 [4 per cell]
4 Br 0.079 0.500 0.787 [4 per cell]

* mass density: 4.56 Mg/m³
* formation energy (no corrections): -0.56 eV per atom
* energy relative to the lowest polymorph listed for this composition: 0 kJ/mol of formula units

***

5.
The following is a PBE calculation of a geometry-optimized KOsAu2C structure, from the Alexandria database.

abc: 5.115 5.115 4.140
angles: 90.00 90.00 90.00
Space group P4/mmm (No. 123)
Unique sites:
1 K 0.000 0.000 0.000 [1 per cell]
2 Os 0.500 0.500 0.500 [1 per cell]
3 Au 0.000 0.500 0.000 [2 per cell]
4 C 0.000 0.000 0.500 [1 per cell]

* mass density: 9.74 Mg/m³
* ΔE_f: 317 kJ/mol of atoms

***

6.
The following is a PBE calculation of a geometry-optimized TbPm4Ga4 structure, from the Alexandria database.

abc: 10.265 10.265 4.789
angles: 90.00 90.00 90.00
Space group I4/m (No. 87)
Unique sites:
1 Tb 0.000 0.000 0.000 [2 per cell]
2 Pm 0.133 0.354 0.000 [8 per cell]
3 Ga 0.070 0.169 0.500 [8 per cell]

* mass density: 6.70 Mg/m³
* ΔE_f: -38 kJ/mol of atoms

***

7.
The following is a PBE calculation of a geometry-optimized PmDy2ThSc structure, from the Alexandria database.

abc: 7.816 5.007 7.871
angles: 90.00 90.44 90.00
Space group P2_1/m (No. 11)
Unique sites:
1 Pm 0.248 0.250 0.246 [2 per cell]
2 Dy 0.158 0.750 0.947 [2 per cell]
3 Dy 0.347 0.750 0.549 [2 per cell]
4 Th 0.055 0.250 0.649 [2 per cell]
5 Sc 0.450 0.250 0.850 [2 per cell]

* mass density: 8.05 Mg/m³
* ΔE_f: 5 kJ/mol of atoms

***

8.
The following is a PBE calculation of a geometry-optimized Sc2InTe structure, from the Alexandria database.

abc: 3.502 3.502 7.751
angles: 90.00 90.00 90.00
Space group P4/mmm (No. 123)
Unique sites:
1 Sc 0.000 0.000 0.235 [2 per cell]
2 In 0.500 0.500 0.500 [1 per cell]
3 Te 0.500 0.500 0.000 [1 per cell]

* mass density: 5.81 Mg/m³
* formation energy (no corrections): -0.57 eV per atom
* energy relative to the lowest polymorph listed for this composition: 43 kJ/mol of formula units